(1)
A plane-wave DFT calculation with PBE-GGA was carried out for an optimized crystal structure of FeMo2.

abc: 12.206 12.206 12.206
angles: 162.14 162.14 25.36
Positions (direct):
Fe  0.286  0.536  0.750
Fe  0.464  0.714  0.750
Fe  0.536  0.286  0.250
Fe  0.714  0.464  0.250
Mo  0.038  0.788  0.250
Mo  0.123  0.373  0.750
Mo  0.212  0.962  0.250
Mo  0.373  0.123  0.250
Mo  0.627  0.877  0.750
Mo  0.788  0.038  0.750
Mo  0.877  0.627  0.250
Mo  0.962  0.212  0.750

Computed properties:
As for the space group: I4_1/amd (141). The value obtained for the calculated formation energy is 230 meV/atom. As for the magnetization: 3.03 μB per cell.

=====

(2)
A plane-wave DFT calculation with PBE-GGA was carried out for an optimized crystal structure of Pm2H2Au.

abc: 3.597 3.597 7.019
angles: 90.00 90.00 90.00
Positions (direct):
Pm  0.000  0.000  0.233
Pm  0.000  0.000  0.767
H  0.000  0.500  0.000
H  0.500  0.000  0.000
Au  0.500  0.500  0.500

Computed properties:
As for the space group: P4/mmm (123). As for the magnetization: 0.00 μB per cell. As for the energy above the most stable polymorph in this dataset: 170 meV/atom.

=====

(3)
A plane-wave DFT calculation with PBE-GGA was carried out for an optimized crystal structure of YSiRuO2.

abc: 3.745 3.745 4.809
angles: 90.00 90.00 90.00
Positions (direct):
Y  0.000  0.000  0.000
Si  0.500  0.500  0.500
Ru  0.500  0.500  0.000
O  0.000  0.500  0.500
O  0.500  0.000  0.500

Computed properties:
As for the space group: P4/mmm (123). As for the magnetization: 0.00 μB per cell. The calculation puts the raw formation energy at -0.872 eV/atom.

=====

(4)
A plane-wave DFT calculation with PBE-GGA was carried out for an optimized crystal structure of BeFeMo4.

abc: 5.132 5.132 5.132
angles: 60.00 60.00 60.00
Positions (direct):
Be  0.000  0.000  0.000
Fe  0.750  0.750  0.750
Mo  0.375  0.375  0.375
Mo  0.375  0.375  0.876
Mo  0.375  0.876  0.375
Mo  0.876  0.375  0.375

Computed properties:
As for the space group: F-43m (216). The value obtained for the calculated formation energy is 654 meV/atom. As for the magnetization: 2.02 μB per cell.

=====

(5)
A plane-wave DFT calculation with PBE-GGA was carried out for an optimized crystal structure of NiMoPt.

abc: 5.913 5.913 5.913
angles: 153.13 153.13 38.37
Positions (direct):
Ni  0.000  0.000  0.000
Mo  0.346  0.346  0.000
Pt  0.668  0.668  0.000

Computed properties:
As for the space group: I4mm (107). The value obtained for the calculated formation energy is -191 meV/atom. As for the magnetization: 0.00 μB per cell. As for the energy above the most stable polymorph in this dataset: 66 meV/atom.

=====

(6)
A plane-wave DFT calculation with PBE-GGA was carried out for an optimized crystal structure of CeTiZn2.

abc: 2.970 2.970 8.310
angles: 90.00 90.00 90.00
Positions (direct):
Ce  0.000  0.000  0.000
Ti  0.000  0.000  0.500
Zn  0.500  0.500  0.282
Zn  0.500  0.500  0.718

Computed properties:
As for the space group: P4/mmm (123). The value obtained for the calculated formation energy is -176 meV/atom. As for the magnetization: 0.68 μB per cell. As for the energy above the most stable polymorph in this dataset: 0 meV/atom.

=====

(7)
A plane-wave DFT calculation with PBE-GGA was carried out for an optimized crystal structure of ScCoReTc.

abc: 4.378 4.378 4.378
angles: 60.00 60.00 60.00
Positions (direct):
Sc  0.000  0.000  0.000
Co  0.250  0.250  0.250
Re  0.500  0.500  0.500
Tc  0.750  0.750  0.750

Computed properties:
As for the space group: F-43m (216). The value obtained for the calculated formation energy is -110 meV/atom. As for the magnetization: 1.77 μB per cell.

=====

(8)
A plane-wave DFT calculation with PBE-GGA was carried out for an optimized crystal structure of Ag2Pd15Pt2.

abc: 6.920 6.920 6.920
angles: 81.41 81.41 81.41
Positions (direct):
Ag  0.178  0.178  0.178
Ag  0.822  0.822  0.822
Pd  0.000  0.500  0.500
Pd  0.153  0.153  0.660
Pd  0.153  0.660  0.153
Pd  0.191  0.500  0.809
Pd  0.191  0.809  0.500
Pd  0.340  0.847  0.847
Pd  0.500  0.000  0.500
Pd  0.500  0.191  0.809
Pd  0.500  0.500  0.000
Pd  0.500  0.809  0.191
Pd  0.660  0.153  0.153
Pd  0.809  0.191  0.500
Pd  0.809  0.500  0.191
Pd  0.847  0.340  0.847
Pd  0.847  0.847  0.340
Pt  0.404  0.404  0.404
Pt  0.596  0.596  0.596

Computed properties:
As for the space group: R-3m (166). The value obtained for the calculated formation energy is 189 meV/atom. As for the magnetization: 0.00 μB per cell.

=====

(9)
A plane-wave DFT calculation with PBE-GGA was carried out for an optimized crystal structure of Ac3SbO.

abc: 5.272 5.272 5.272
angles: 90.00 90.00 90.00
Positions (direct):
Ac  0.000  0.000  0.500
Ac  0.000  0.500  0.000
Ac  0.500  0.000  0.000
Sb  0.500  0.500  0.500
O  0.000  0.000  0.000

Computed properties:
As for the space group: Pm-3m (221). As for the magnetization: 0.61 μB per cell. The calculation puts the raw formation energy at -1.339 eV/atom.

=====

(10)
A plane-wave DFT calculation with PBE-GGA was carried out for an optimized crystal structure of LiCr2Os.

abc: 4.867 4.867 2.509
angles: 98.78 98.78 118.95
Positions (direct):
Li  0.000  0.000  0.000
Cr  0.000  0.500  0.500
Cr  0.500  0.000  0.500
Os  0.500  0.500  0.000

Computed properties:
As for the space group: C2/m (12). The value obtained for the calculated formation energy is 299 meV/atom. As for the magnetization: 0.00 μB per cell.

=====

(11)
A plane-wave DFT calculation with PBE-GGA was carried out for an optimized crystal structure of CaCu9Si3.

abc: 6.478 6.478 6.378
angles: 97.65 97.65 135.91
Positions (direct):
Ca  0.000  0.000  0.000
Cu  0.000  0.000  0.500
Cu  0.012  0.658  0.650
Cu  0.287  0.512  0.778
Cu  0.342  0.988  0.350
Cu  0.488  0.713  0.222
Cu  0.512  0.287  0.778
Cu  0.658  0.012  0.650
Cu  0.713  0.488  0.222
Cu  0.988  0.342  0.350
Si  0.000  0.500  0.000
Si  0.500  0.000  0.000
Si  0.500  0.500  0.500

Computed properties:
As for the space group: C2/m (12). As for the magnetization: 0.00 μB per cell. The calculation puts the raw formation energy at -0.153 eV/atom.

=====

(12)
A plane-wave DFT calculation with PBE-GGA was carried out for an optimized crystal structure of BeMoPd.

abc: 4.356 3.207 6.199
angles: 90.00 110.54 90.00
Positions (direct):
Be  0.000  0.000  0.000
Be  0.305  0.000  0.613
Mo  0.666  0.000  0.335
Mo  0.826  0.500  0.653
Pd  0.143  0.500  0.288
Pd  0.471  0.500  0.943

Computed properties:
As for the space group: Pm (6). The value obtained for the calculated formation energy is -126 meV/atom. As for the magnetization: 0.00 μB per cell. As for the energy above the most stable polymorph in this dataset: 114 meV/atom.